# 1
5
Lattice="-2.399 2.158 -2.941 -2.779 -3.361 -0.200 -2.367 1.766 3.227" Properties=species:S:1:pos:R:3 comment="LiSc2HgN GGA-PBE relaxed" e_form_raw_mev_per_atom=-851 pbc="T T T"
Sc -1.389 -1.680 -0.100
Sc -1.199 1.079 -1.470
Li -1.184 0.883 1.613
Hg -3.772 0.281 0.043
N 0.000 0.000 0.000

---

# 2
5
Lattice="-4.254 -1.133 0.434 1.522 -5.077 1.670 0.056 1.397 4.197" Properties=species:S:1:pos:R:3 comment="Li2ScHgN GGA-PBE relaxed" e_form_raw_mev_per_atom=986 pbc="T T T"
Sc 0.761 -2.538 0.835
Li 0.028 0.699 2.099
Li -2.127 -0.566 0.217
Hg 0.000 0.000 0.000
N -1.338 -2.406 3.150

---

# 3
5
Lattice="-3.188 -2.550 -1.234 2.508 -3.404 0.555 -1.424 -0.336 4.374" Properties=species:S:1:pos:R:3 comment="Li2SnHgN GGA-PBE relaxed" e_form_raw_mev_per_atom=-125 pbc="T T T"
N 0.000 0.000 0.000
Li 1.254 -1.702 0.277
Li -1.594 -1.275 -0.617
Hg -1.052 -3.145 1.848
Sn -0.712 -0.168 2.187

---

# 4
5
Lattice="-1.142 2.723 -3.335 -4.239 -1.313 0.380 -0.865 3.768 3.373" Properties=species:S:1:pos:R:3 comment="SrLi2HgN GGA-PBE relaxed" e_form_raw_mev_per_atom=-255 pbc="T T T"
Sr -0.432 1.884 1.686
Li -2.120 -0.656 0.190
Li -0.571 1.361 -1.667
Hg -3.123 2.589 0.209
N 0.000 0.000 0.000

---

# 5
5
Lattice="4.148 0.000 0.000 0.000 4.148 0.000 0.000 0.000 3.910" Properties=species:S:1:pos:R:3 comment="Li2TcHgN GGA-PBE relaxed" e_form_raw_mev_per_atom=-212 pbc="T T T"
N 0.000 0.000 0.000
Li 0.000 2.074 0.000
Li 2.074 0.000 0.000
Hg 2.074 2.074 1.955
Tc 0.000 0.000 1.955

---

# 6
5
Lattice="4.316 0.000 0.000 0.000 5.107 0.000 0.000 0.000 4.316" Properties=species:S:1:pos:R:3 comment="LiTiHgN2 GGA-PBE relaxed" e_form_raw_mev_per_atom=2127 pbc="T T T"
N 0.000 0.000 2.158
N 2.158 0.000 0.000
Li 2.158 2.553 2.158
Hg 0.000 0.000 0.000
Ti 0.000 2.553 0.000

---

# 7
5
Lattice="4.296 0.000 0.000 0.000 5.326 0.000 0.000 0.000 4.296" Properties=species:S:1:pos:R:3 comment="LiHgWN2 GGA-PBE relaxed" e_form_raw_mev_per_atom=2817 pbc="T T T"
Li 2.148 2.663 2.148
Hg 0.000 0.000 0.000
W 0.000 2.663 0.000
N 0.000 0.000 2.148
N 2.148 0.000 0.000

---

# 8
5
Lattice="4.397 0.000 0.000 0.000 4.397 0.000 0.000 0.000 4.615" Properties=species:S:1:pos:R:3 comment="Li2YHgN GGA-PBE relaxed" e_form_raw_mev_per_atom=-545 pbc="T T T"
Y 0.000 0.000 2.307
Li 0.000 2.199 0.000
Li 2.199 0.000 0.000
Hg 2.199 2.199 2.307
N 0.000 0.000 0.000